No. 1
Below is a crystal of Te2PbN relaxed with PBEsol, with properties calculated at the meta-GGA SCAN level.

Output
Formation energy from raw total energies in eV per atom: 0.60
V in Å³/atom: 25.337
Density of states at the Fermi level in states/eV/f.u.: 1.90

Unit cell a=7.1081 b=7.1081 c=8.0236 alpha=90.00 beta=90.00 gamma=90.00
Space group I-42d (No. 122)
Symmetry-distinct sites (fractional):
Te (0.1324, 0.7500, 0.1250) (multiplicity 8)
Pb (0.0000, 0.0000, 0.5000) (multiplicity 4)
N (0.0000, 0.0000, 0.0000) (multiplicity 4)

***

No. 2
Below is a crystal of YHg2Ir relaxed with PBEsol, with properties calculated at the meta-GGA SCAN level.

Output
V in Å³/atom: 20.186
ΔE_f in eV/atom: 0.257
Density of states at the Fermi level in states/eV/f.u.: 2.59
Energy relative to the lowest polymorph listed for this composition in eV per atom: 0.604

Unit cell a=3.1362 b=3.1362 c=28.4391 alpha=90.00 beta=90.00 gamma=120.00
Space group R-3m (No. 166, hexagonal axes)
Symmetry-distinct sites (fractional):
Y (0.0000, 0.0000, 0.0000) (multiplicity 3)
Hg (0.0000, 0.0000, 0.2431) (multiplicity 6)
Ir (0.0000, 0.0000, 0.5000) (multiplicity 3)

***

No. 3
Below is a crystal of CrCo2Ru relaxed with PBEsol, with properties calculated at the meta-GGA SCAN level.

Output
V in Å³/atom: 11.236
ΔE_f in eV/atom: 0.234
Density of states at the Fermi level in states/eV/f.u.: 3.61
Energy relative to the lowest polymorph listed for this composition in eV per atom: 0.143

Unit cell a=3.8636 b=2.5206 c=9.2301 alpha=90.00 beta=90.00 gamma=90.00
Space group Amm2 (No. 38)
Symmetry-distinct sites (fractional):
Cr (0.0000, 0.0000, 0.0000) (multiplicity 2)
Co (0.0000, 0.0000, 0.7302) (multiplicity 2)
Co (0.5000, 0.0000, 0.1271) (multiplicity 2)
Ru (0.5000, 0.0000, 0.3849) (multiplicity 2)

***

No. 4
Below is a crystal of Y2Rh relaxed with PBEsol, with properties calculated at the meta-GGA SCAN level.

Output
V in Å³/atom: 27.513
ΔE_f in eV/atom: -0.586
Density of states at the Fermi level in states/eV/f.u.: 3.01

Unit cell a=3.9319 b=3.9319 c=6.1650 alpha=90.00 beta=90.00 gamma=120.00
Space group P-3m1 (No. 164)
Symmetry-distinct sites (fractional):
Y (0.3333, 0.6667, 0.2408) (multiplicity 2)
Rh (0.0000, 0.0000, 0.0000) (multiplicity 1)

***

No. 5
Below is a crystal of ZrTeP2 relaxed with PBEsol, with properties calculated at the meta-GGA SCAN level.

Output
Formation energy from raw total energies in eV per atom: -0.15
V in Å³/atom: 19.973
Density of states at the Fermi level in states/eV/f.u.: 3.80
Energy relative to the lowest polymorph listed for this composition in eV per atom: 0.000

Unit cell a=3.5463 b=3.5463 c=22.0054 alpha=90.00 beta=90.00 gamma=120.00
Space group R-3m (No. 166, hexagonal axes)
Symmetry-distinct sites (fractional):
Zr (0.0000, 0.0000, 0.0000) (multiplicity 3)
Te (0.0000, 0.0000, 0.5000) (multiplicity 3)
P (0.0000, 0.0000, 0.2577) (multiplicity 6)

***

No. 6
Below is a crystal of YHg3O relaxed with PBEsol, with properties calculated at the meta-GGA SCAN level.

Output
Formation energy from raw total energies in eV per atom: 0.71
V in Å³/atom: 39.361
Density of states at the Fermi level in states/eV/f.u.: 7.98

Unit cell a=5.8167 b=5.8167 c=5.8167 alpha=90.00 beta=90.00 gamma=90.00
Space group Pm-3m (No. 221)
Symmetry-distinct sites (fractional):
Y (0.0000, 0.0000, 0.0000) (multiplicity 1)
Hg (0.0000, 0.0000, 0.5000) (multiplicity 3)
O (0.5000, 0.5000, 0.5000) (multiplicity 1)

***

No. 7
Below is a crystal of AsSe3 relaxed with PBEsol, with properties calculated at the meta-GGA SCAN level.

Output
Formation energy from raw total energies in eV per atom: 0.60
V in Å³/atom: 19.182
Density of states at the Fermi level in states/eV/f.u.: 2.44
Energy relative to the lowest polymorph listed for this composition in eV per atom: 0.249

Unit cell a=6.7453 b=6.7453 c=6.7453 alpha=90.00 beta=90.00 gamma=90.00
Space group Fm-3m (No. 225)
Symmetry-distinct sites (fractional):
As (0.0000, 0.0000, 0.0000) (multiplicity 4)
Se (0.0000, 0.0000, 0.5000) (multiplicity 4)
Se (0.2500, 0.2500, 0.2500) (multiplicity 8)

***

No. 8
Below is a crystal of H8PtN2Cl2O2 relaxed with PBEsol, with properties calculated at the meta-GGA SCAN level.

Output
Calculated total energy in eV/atom: -10.35
V in Å³/atom: 10.189
Density of states at the Fermi level in states/eV/f.u.: 0.00

Unit cell a=6.3967 b=7.4452 c=6.4184 alpha=90.00 beta=90.59 gamma=90.00
Space group P2_1/m (No. 11)
Symmetry-distinct sites (fractional):
H (0.1094, 0.0747, 0.1442) (multiplicity 4)
H (0.1469, 0.0827, 0.4052) (multiplicity 4)
H (0.1660, 0.7500, 0.8866) (multiplicity 2)
H (0.1881, 0.2500, 0.7031) (multiplicity 2)
H (0.3523, 0.0673, 0.2462) (multiplicity 4)
Pt (0.2006, 0.7500, 0.2701) (multiplicity 2)
N (0.2006, 0.0235, 0.2667) (multiplicity 4)
Cl (0.3515, 0.7500, 0.6010) (multiplicity 2)
Cl (0.4772, 0.2500, 0.8910) (multiplicity 2)
O (0.0543, 0.7500, 0.9929) (multiplicity 2)
O (0.0789, 0.2500, 0.5923) (multiplicity 2)

***

No. 9
Below is a crystal of BaSc8Ni2O15 relaxed with PBEsol, with properties calculated at the meta-GGA SCAN level.

Output
Formation energy from raw total energies in eV per atom: -3.42
V in Å³/atom: 11.852
Density of states at the Fermi level in states/eV/f.u.: 0.00

Unit cell a=11.9097 b=10.7059 c=9.6673 alpha=90.00 beta=90.00 gamma=90.00
Space group Cmc2_1 (No. 36)
Symmetry-distinct sites (fractional):
Ba (0.0000, 0.2213, 0.0000) (multiplicity 4)
Sc (0.0000, 0.0636, 0.6572) (multiplicity 4)
Sc (0.0000, 0.4406, 0.3816) (multiplicity 4)
Sc (0.1303, 0.3300, 0.6658) (multiplicity 8)
Sc (0.1329, 0.1628, 0.3738) (multiplicity 8)
Sc (0.2365, 0.4141, 0.1360) (multiplicity 8)
Ni (0.2460, 0.0872, 0.9087) (multiplicity 8)
O (0.0000, 0.1012, 0.2582) (multiplicity 4)
O (0.0000, 0.2440, 0.5263) (multiplicity 4)
O (0.0000, 0.3930, 0.7860) (multiplicity 4)
O (0.1246, 0.4812, 0.5269) (multiplicity 8)
O (0.1273, 0.3383, 0.2828) (multiplicity 8)
O (0.1283, 0.0127, 0.5180) (multiplicity 8)
O (0.1299, 0.1565, 0.7663) (multiplicity 8)
O (0.2456, 0.4314, 0.7723) (multiplicity 8)
O (0.2465, 0.2474, 0.5226) (multiplicity 8)

***

No. 10
Below is a crystal of MnIn2F relaxed with PBEsol, with properties calculated at the meta-GGA SCAN level.

Output
Formation energy from raw total energies in eV per atom: -0.47
V in Å³/atom: 17.726
Density of states at the Fermi level in states/eV/f.u.: 2.14

Unit cell a=6.5702 b=6.5702 c=6.5702 alpha=90.00 beta=90.00 gamma=90.00
Space group Fm-3m (No. 225)
Symmetry-distinct sites (fractional):
Mn (0.0000, 0.0000, 0.0000) (multiplicity 4)
In (0.2500, 0.2500, 0.2500) (multiplicity 8)
F (0.0000, 0.0000, 0.5000) (multiplicity 4)

***

No. 11
Below is a crystal of YAl2AsP relaxed with PBEsol, with properties calculated at the meta-GGA SCAN level.

Output
V in Å³/atom: 30.990
ΔE_f in eV/atom: 1.321
Density of states at the Fermi level in states/eV/f.u.: 4.45

Unit cell a=5.4614 b=5.4614 c=5.1949 alpha=90.00 beta=90.00 gamma=90.00
Space group P4/mmm (No. 123)
Symmetry-distinct sites (fractional):
Y (0.0000, 0.0000, 0.0000) (multiplicity 1)
Al (0.0000, 0.5000, 0.0000) (multiplicity 2)
As (0.0000, 0.0000, 0.5000) (multiplicity 1)
P (0.5000, 0.5000, 0.5000) (multiplicity 1)

***

No. 12
Below is a crystal of Mn12Re17 relaxed with PBEsol, with properties calculated at the meta-GGA SCAN level.

Output
V in Å³/atom: 12.870
ΔE_f in eV/atom: -0.061
Density of states at the Fermi level in states/eV/f.u.: 21.58

Unit cell a=9.0713 b=9.0713 c=9.0713 alpha=90.00 beta=90.00 gamma=90.00
Space group I-43m (No. 217)
Symmetry-distinct sites (fractional):
Mn (0.0862, 0.0862, 0.2721) (multiplicity 24)
Re (0.0000, 0.0000, 0.0000) (multiplicity 2)
Re (0.0356, 0.3540, 0.3540) (multiplicity 24)
Re (0.1805, 0.1805, 0.8195) (multiplicity 8)

***

No. 13
Below is a crystal of Re5Se relaxed with PBEsol, with properties calculated at the meta-GGA SCAN level.

Output
Formation energy from raw total energies in eV per atom: 0.59
V in Å³/atom: 14.888
Density of states at the Fermi level in states/eV/f.u.: 5.84
Energy relative to the lowest polymorph listed for this composition in eV per atom: 0.162

Unit cell a=3.9620 b=11.4274 c=3.9459 alpha=90.00 beta=90.00 gamma=90.00
Space group Cmmm (No. 65)
Symmetry-distinct sites (fractional):
Re (0.0000, 0.0000, 0.0000) (multiplicity 2)
Re (0.0000, 0.1782, 0.5000) (multiplicity 4)
Re (0.0000, 0.3320, 0.0000) (multiplicity 4)
Se (0.0000, 0.5000, 0.5000) (multiplicity 2)

***

No. 14
Below is a crystal of Te2MoPN relaxed with PBEsol, with properties calculated at the meta-GGA SCAN level.

Output
Formation energy from raw total energies in eV per atom: 0.77
V in Å³/atom: 18.096
Density of states at the Fermi level in states/eV/f.u.: 3.03

Unit cell a=5.2651 b=5.2651 c=3.2640 alpha=90.00 beta=90.00 gamma=90.00
Space group P4/mmm (No. 123)
Symmetry-distinct sites (fractional):
Te (0.0000, 0.5000, 0.0000) (multiplicity 2)
Mo (0.0000, 0.0000, 0.5000) (multiplicity 1)
P (0.5000, 0.5000, 0.0000) (multiplicity 1)
N (0.5000, 0.5000, 0.5000) (multiplicity 1)

***

No. 15
Below is a crystal of Ba2P2O7 relaxed with PBEsol, with properties calculated at the meta-GGA SCAN level.

Output
Formation energy from raw total energies in eV per atom: -3.02
V in Å³/atom: 16.294
Density of states at the Fermi level in states/eV/f.u.: 0.00

Unit cell a=7.1819 b=15.8982 c=9.4188 alpha=90.00 beta=90.00 gamma=90.00
Space group Amm2 (No. 38)
Symmetry-distinct sites (fractional):
Ba (0.0000, 0.0000, 0.0000) (multiplicity 2)
Ba (0.0000, 0.1462, 0.4289) (multiplicity 4)
Ba (0.5000, 0.0000, 0.6824) (multiplicity 2)
Ba (0.5000, 0.1905, 0.1022) (multiplicity 4)
P (0.2221, 0.1697, 0.8016) (multiplicity 8)
P (0.2822, 0.0000, 0.2809) (multiplicity 4)
O (0.0000, 0.1763, 0.8399) (multiplicity 4)
O (0.2100, 0.0801, 0.2091) (multiplicity 8)
O (0.2476, 0.1620, 0.6415) (multiplicity 8)
O (0.2511, 0.0000, 0.4415) (multiplicity 4)
O (0.2887, 0.0919, 0.8815) (multiplicity 8)
O (0.2988, 0.2482, 0.3610) (multiplicity 8)
O (0.5000, 0.0000, 0.2442) (multiplicity 2)

***

No. 16
Below is a crystal of La2CrH relaxed with PBEsol, with properties calculated at the meta-GGA SCAN level.

Output
Calculated total energy in eV/atom: -26.98
V in Å³/atom: 22.473
Density of states at the Fermi level in states/eV/f.u.: 3.70

Unit cell a=7.1413 b=7.1413 c=7.0505 alpha=90.00 beta=90.00 gamma=90.00
Space group I-42d (No. 122)
Symmetry-distinct sites (fractional):
La (0.1675, 0.2500, 0.1250) (multiplicity 8)
Cr (0.0000, 0.0000, 0.5000) (multiplicity 4)
H (0.0000, 0.0000, 0.0000) (multiplicity 4)

***

No. 17
Below is a crystal of Zr2PtW relaxed with PBEsol, with properties calculated at the meta-GGA SCAN level.

Output
V in Å³/atom: 17.910
ΔE_f in eV/atom: -0.358
Density of states at the Fermi level in states/eV/f.u.: 4.14

Unit cell a=3.6417 b=4.5654 c=8.6181 alpha=90.00 beta=90.00 gamma=90.00
Space group Cmmm (No. 65)
Symmetry-distinct sites (fractional):
Zr (0.0000, 0.0000, 0.2435) (multiplicity 4)
Pt (0.0000, 0.5000, 0.0000) (multiplicity 2)
W (0.0000, 0.5000, 0.5000) (multiplicity 2)

***

No. 18
Below is a crystal of CsSrHfTc2 relaxed with PBEsol, with properties calculated at the meta-GGA SCAN level.

Output
V in Å³/atom: 25.508
ΔE_f in eV/atom: 2.374
Density of states at the Fermi level in states/eV/f.u.: 4.25

Unit cell a=4.9671 b=4.9671 c=5.1693 alpha=90.00 beta=90.00 gamma=90.00
Space group P4/mmm (No. 123)
Symmetry-distinct sites (fractional):
Cs (0.0000, 0.0000, 0.0000) (multiplicity 1)
Sr (0.5000, 0.5000, 0.5000) (multiplicity 1)
Hf (0.0000, 0.0000, 0.5000) (multiplicity 1)
Tc (0.0000, 0.5000, 0.0000) (multiplicity 2)

***

No. 19
Below is a crystal of Mn2P relaxed with PBEsol, with properties calculated at the meta-GGA SCAN level.

Output
V in Å³/atom: 11.335
ΔE_f in eV/atom: -0.371
Density of states at the Fermi level in states/eV/f.u.: 1.59

Unit cell a=3.4018 b=11.8507 c=3.3741 alpha=90.00 beta=90.00 gamma=90.00
Space group Cmcm (No. 63)
Symmetry-distinct sites (fractional):
Mn (0.0000, 0.0804, 0.2500) (multiplicity 4)
Mn (0.0000, 0.2493, 0.7500) (multiplicity 4)
P (0.0000, 0.3864, 0.2500) (multiplicity 4)

***

No. 20
Below is a crystal of Li2TaTl relaxed with PBEsol, with properties calculated at the meta-GGA SCAN level.

Output
V in Å³/atom: 18.531
ΔE_f in eV/atom: 0.394
Density of states at the Fermi level in states/eV/f.u.: 2.87

Unit cell a=5.7313 b=9.2306 c=2.8022 alpha=90.00 beta=90.00 gamma=90.00
Space group Cmmm (No. 65)
Symmetry-distinct sites (fractional):
Li (0.2500, 0.2500, 0.0000) (multiplicity 4)
Ta (0.0000, 0.0000, 0.5000) (multiplicity 2)
Tl (0.0000, 0.5000, 0.5000) (multiplicity 2)

***

No. 21
Below is a crystal of HgAuCl2 relaxed with PBEsol, with properties calculated at the meta-GGA SCAN level.

Output
Formation energy from raw total energies in eV per atom: -0.11
V in Å³/atom: 23.502
Density of states at the Fermi level in states/eV/f.u.: 2.69
Energy relative to the lowest polymorph listed for this composition in eV per atom: 0.000

Unit cell a=10.2942 b=3.6536 c=6.3015 alpha=90.00 beta=127.50 gamma=90.00
Space group C2/m (No. 12)
Symmetry-distinct sites (fractional):
Hg (0.0000, 0.0000, 0.0000) (multiplicity 2)
Au (0.0000, 0.5000, 0.5000) (multiplicity 2)
Cl (0.2024, 0.0000, 0.7024) (multiplicity 4)

***

No. 22
Below is a crystal of TaNi2Te relaxed with PBEsol, with properties calculated at the meta-GGA SCAN level.

Output
Formation energy from raw total energies in eV per atom: 0.13
V in Å³/atom: 14.940
Density of states at the Fermi level in states/eV/f.u.: 3.27

Unit cell a=3.2199 b=3.2199 c=5.7643 alpha=90.00 beta=90.00 gamma=90.00
Space group P4mm (No. 99)
Symmetry-distinct sites (fractional):
Ta (0.0000, 0.0000, 0.0000) (multiplicity 1)
Ni (0.0000, 0.0000, 0.5630) (multiplicity 1)
Ni (0.5000, 0.5000, 0.7690) (multiplicity 1)
Te (0.5000, 0.5000, 0.3227) (multiplicity 1)